# 1
Fe2IrPtSe: relaxed, GGA-PBE.

Its space group is P4/mmm, No. 123. For the formation energy from raw total energies, the calculation gives 1.15 eV/atom.

a b c (Å): 4.6646 4.6646 4.8736
angles (deg): 90.00 90.00 90.00
Positions (direct):
Fe: 0.0000 0.5000 0.0000
Fe: 0.5000 0.0000 0.0000
Ir: 0.0000 0.0000 0.0000
Pt: 0.0000 0.0000 0.5000
Se: 0.5000 0.5000 0.5000

***

# 2
Na6Li: relaxed, GGA-PBE.

The distance to the lowest polymorph of the same formula is 0.0 meV/atom. Its space group is R-3m, No. 166. As for the formation energy: 35 meV/atom.

a b c (Å): 9.0207 9.0207 9.0207
angles (deg): 37.17 37.17 37.17
Positions (direct):
Na: 0.0730 0.0730 0.0730
Na: 0.2116 0.2116 0.2116
Na: 0.3610 0.3610 0.3610
Na: 0.6390 0.6390 0.6390
Na: 0.7884 0.7884 0.7884
Na: 0.9270 0.9270 0.9270
Li: 0.5000 0.5000 0.5000

***

# 3
Tl3CuCl: relaxed, GGA-PBE.

The distance to the lowest polymorph of the same formula is 0.0 meV/atom. Its space group is Pm-3m, No. 221. For the formation energy from raw total energies, the calculation gives -0.18 eV/atom.

a b c (Å): 5.2955 5.2955 5.2955
angles (deg): 90.00 90.00 90.00
Positions (direct):
Tl: 0.0000 0.0000 0.5000
Tl: 0.0000 0.5000 0.0000
Tl: 0.5000 0.0000 0.0000
Cu: 0.0000 0.0000 0.0000
Cl: 0.5000 0.5000 0.5000

***

# 4
Sr2Pt2Au: relaxed, GGA-PBE.

The distance to the lowest polymorph of the same formula is 211.7 meV/atom. Its space group is I4/mmm, No. 139. As for the formation energy: -604 meV/atom.

a b c (Å): 9.2412 9.2412 9.2412
angles (deg): 156.00 156.00 34.20
Positions (direct):
Sr: 0.1131 0.1131 0.0000
Sr: 0.8869 0.8869 0.0000
Pt: 0.2500 0.7500 0.5000
Pt: 0.7500 0.2500 0.5000
Au: 0.5000 0.5000 0.0000

***

Uncorrected energy in eV/atom, matching the order above: -5.91, -1.37, -2.79, -4.35
Density of states at the Fermi level in states/eV/f.u., matching the order above: 5.09, 4.10, 1.40, 3.69